First-principles (PBE) data for a relaxed structure of MnCrOs2, as listed in Alexandria.

```
data_MnCrOs2
_chemical_formula_sum 'Mn2 Cr2 Os4'
_cell_length_a 2.807
_cell_length_b 4.326
_cell_length_c 9.227
_cell_angle_alpha 90.00
_cell_angle_beta 90.00
_cell_angle_gamma 90.00
_space_group_name_H-M_alt 'I m m m'
_space_group_IT_number 71
_space_group_name_Hall '-I 2 2'
loop_
_atom_site_label
_atom_site_fract_x
_atom_site_fract_y
_atom_site_fract_z
_atom_site_occupancy
Mn1 0.000 0.000 0.000 1
Cr1 0.000 0.000 0.500 1
Os1 0.000 0.500 0.219 1
```

For the formation energy, the calculation gives 0.281 eV/atom.

First-principles (PBE) data for a relaxed structure of RbPbCl2, as listed in Alexandria.

```
data_RbPbCl2
_chemical_formula_sum 'Rb4 Pb4 Cl8'
_cell_length_a 7.833
_cell_length_b 7.833
_cell_length_c 7.833
_cell_angle_alpha 90.00
_cell_angle_beta 90.00
_cell_angle_gamma 90.00
_space_group_name_H-M_alt 'F m -3 m'
_space_group_IT_number 225
_space_group_name_Hall '-F 4 2 3'
loop_
_atom_site_label
_atom_site_fract_x
_atom_site_fract_y
_atom_site_fract_z
_atom_site_occupancy
Rb1 0.000 0.000 0.000 1
Pb1 0.000 0.000 0.500 1
Cl1 0.250 0.250 0.250 1
```

For the uncorrected formation energy, the calculation gives -93.6 kJ per mole of atoms.

First-principles (PBE) data for a relaxed structure of MnSi2SN, as listed in Alexandria.

```
data_MnSi2SN
_chemical_formula_sum 'Mn1 Si2 S1 N1'
_cell_length_a 2.844
_cell_length_b 4.971
_cell_length_c 5.420
_cell_angle_alpha 68.99
_cell_angle_beta 80.25
_cell_angle_gamma 86.01
_space_group_name_H-M_alt 'P 1'
_space_group_IT_number 1
loop_
_space_group_symop_operation_xyz
'x,y,z'
loop_
_atom_site_label
_atom_site_fract_x
_atom_site_fract_y
_atom_site_fract_z
_atom_site_occupancy
Mn1 0.000 0.000 0.000 1
Si1 0.341 0.949 0.556 1
Si2 0.472 0.430 0.820 1
S1 0.492 0.625 0.142 1
N1 0.899 0.029 0.357 1
```

For the uncorrected formation energy, the calculation gives -12.8 kJ per mole of atoms.

First-principles (PBE) data for a relaxed structure of In5Pb3O12, as listed in Alexandria.

```
data_In5Pb3O12
_chemical_formula_sum 'In40 Pb24 O96'
_cell_length_a 13.429
_cell_length_b 13.429
_cell_length_c 13.429
_cell_angle_alpha 90.00
_cell_angle_beta 90.00
_cell_angle_gamma 90.00
_space_group_name_H-M_alt 'I a -3 d'
_space_group_IT_number 230
_space_group_name_Hall '-I 4bd 2c 3'
loop_
_atom_site_label
_atom_site_fract_x
_atom_site_fract_y
_atom_site_fract_z
_atom_site_occupancy
In1 0.000 0.000 0.000 1
In2 0.000 0.250 0.375 1
Pb1 0.000 0.250 0.125 1
O1 0.021 0.059 0.652 1
```

For the uncorrected formation energy, the calculation gives -116.1 kJ per mole of atoms.

no.,density of states at the Fermi level (states/eV/cell),density (g cm⁻³)
1,9.06,14.45
2,10.77,5.02
3,1.98,3.70
4,63.48,7.61